Material: In2Bi2As
Method: DFT, PBE
State: relaxed

- D(E_F): 2.53 states/eV/f.u.
- Total moment: 0.00 μB per formula unit

a = 7.8375 Å, b = 7.8375 Å, c = 5.0453 Å
α = 90.00°, β = 90.00°, γ = 90.00°
Closest atoms and distances in Å follow each position.
Space group P4/mbm (No. 127)
Symmetry-distinct sites (fractional):
In: 0.1716 0.3284 0.0000 x4  6 Bi 3.24-3.55
Bi: 0.1454 0.6454 0.5000 x4  2 As 3.00, 1 Bi 3.22, 2 In 3.24
As: 0.0000 0.0000 0.5000 x2  4 Bi 3.00


Material: InBi2As2
Method: DFT, PBE
State: relaxed

- D(E_F): 1.67 states/eV/f.u.
- Total moment: 0.00 μB per formula unit

a = 5.4740 Å, b = 5.4740 Å, c = 10.5548 Å
α = 90.00°, β = 90.00°, γ = 90.00°
Closest atoms and distances in Å follow each position.
Space group I4/mmm (No. 139)
Symmetry-distinct sites (fractional):
In: 0.0000 0.0000 0.0000 x2  2 Bi 3.67, 8 As 3.80
Bi: 0.0000 0.0000 0.3473 x4  4 As 2.92, 1 Bi 3.22
As: 0.0000 0.5000 0.2500 x4  4 Bi 2.92


Material: InBi2As2
Method: DFT, PBE
State: relaxed

- D(E_F): 3.10 states/eV/f.u.
- Total moment: 0.00 μB per formula unit

a = 5.7892 Å, b = 5.7892 Å, c = 8.5787 Å
α = 90.00°, β = 90.00°, γ = 90.00°
Closest atoms and distances in Å follow each position.
Space group I4/mmm (No. 139)
Symmetry-distinct sites (fractional):
In: 0.0000 0.0000 0.0000 x2  2 As 3.01
Bi: 0.0000 0.5000 0.2500 x4  4 As 3.02
As: 0.0000 0.0000 0.3513 x4  1 As 2.55


no.,energy above the lowest structure with this stoichiometry (meV per atom),energy of formation from the pure elements (eV per formula unit)
1,0,0.95
2,30,0.79
3,0,0.64